# V2P2O7

V2P2O7 after structural relaxation (PBE+U, Alexandria via LeMat-Bulk).

Properties
Total DFT energy (no corrections), eV per atom: -7.61
Total moment, μB/cell: 6.0

Cell: 5.4588 5.4588 4.5602 Å, 96.85 96.85 104.88°
Atoms (fractional coordinates):
V 0.1865 0.8135 0.0000
V 0.8135 0.1865 0.0000
P 0.2820 0.2820 0.5902
P 0.7180 0.7180 0.4098
O 0.1221 0.4190 0.7715
O 0.1306 0.1306 0.2891
O 0.4190 0.1221 0.7715
O 0.5000 0.5000 0.5000
O 0.5810 0.8779 0.2285
O 0.8694 0.8694 0.7109
O 0.8779 0.5810 0.2285